1.
Compound: CaAlTlPb
Source: Alexandria via LeMat-Bulk
Functional: GGA-PBE
Structure: relaxed

Unit cell a=7.5748 b=7.5748 c=7.5748 alpha=90.00 beta=90.00 gamma=90.00
Closest atoms and distances in Å follow each position.
Space group F-43m (No. 216)
One atom of each set of equivalent atoms:
Ca  0.0000  0.0000  0.0000  4 Tl 3.28, 4 Pb 3.28
Al  0.0000  0.0000  0.5000  4 Tl 3.28, 4 Pb 3.28
Tl  0.2500  0.2500  0.7500  4 Ca 3.28, 4 Al 3.28
Pb  0.2500  0.2500  0.2500  4 Ca 3.28, 4 Al 3.28

Computed properties:
- D(E_F) (states/eV/atom) = 0.72
- magnetization (μB per formula unit) = 0.00
- final energy (eV/atom) = -3.042


2.
Compound: Li2FeRh
Source: Alexandria via LeMat-Bulk
Functional: GGA-PBE
Structure: relaxed

Unit cell a=2.8998 b=4.1489 c=8.7660 alpha=90.00 beta=90.00 gamma=90.00
Closest atoms and distances in Å follow each position.
Space group Immm (No. 71)
One atom of each set of equivalent atoms:
Li  0.0000  0.0000  0.2483  4 Li 2.53, 2 Rh 2.62, 2 Fe 2.64
Fe  0.0000  0.5000  0.0000  4 Rh 2.53, 4 Li 2.64
Rh  0.0000  0.5000  0.5000  4 Fe 2.53, 4 Li 2.62

Computed properties:
- D(E_F) (states/eV/atom) = 0.75
- magnetization (μB per formula unit) = 3.00
- final energy (eV/atom) = -4.926